Entry 1:
LiAg6 after structural relaxation. Source: the Alexandria database, functional GGA-PBE.

Summary:
Symmetry   No. 123
Theoretical density   8.19 g/cm³
Electronic total energy   -2.685 eV/atom

abc: 4.061 4.061 8.046
angles: 90.00 90.00 90.00
Atoms (fractional coordinates):
Li 0.000 0.000 0.000
Ag 0.000 0.000 0.500
Ag 0.000 0.500 0.255
Ag 0.000 0.500 0.745
Ag 0.500 0.000 0.255
Ag 0.500 0.000 0.745
Ag 0.500 0.500 0.000

---

Entry 2:
TcSe after structural relaxation. Source: the Alexandria database, functional GGA-PBE.

Summary:
Symmetry   No. 129
Theoretical density   7.94 g/cm³
Electronic total energy   -7.089 eV/atom

abc: 2.996 2.996 8.242
angles: 90.00 90.00 90.00
Atoms (fractional coordinates):
Tc 0.250 0.250 0.118
Tc 0.750 0.750 0.882
Se 0.250 0.250 0.711
Se 0.750 0.750 0.289

---

Entry 3:
SrV2Sn after structural relaxation. Source: the Alexandria database, functional GGA-PBE.

Summary:
Symmetry   No. 141
Theoretical density   4.88 g/cm³
Electronic total energy   -5.419 eV/atom

abc: 10.452 10.452 10.452
angles: 154.61 154.61 36.22
Atoms (fractional coordinates):
Sr 0.375 0.625 0.750
Sr 0.625 0.375 0.250
V 0.000 0.000 0.000
V 0.000 0.000 0.500
V 0.000 0.500 0.000
V 0.500 0.000 0.500
Sn 0.125 0.875 0.250
Sn 0.875 0.125 0.750